1.
Here is a relaxed KBe2ZnIn crystal from Alexandria via LeMat-Bulk. Energies are from GGA-PBE.

Structure (extended XYZ):
```
5
Lattice="4.553 0.000 0.000 0.000 5.675 0.000 0.000 0.000 4.553" Properties=species:S:1:pos:R:3 pbc="T T T"
Be 0.000 0.000 2.276
Be 2.276 0.000 0.000
Zn 0.000 0.000 0.000
K 0.000 2.838 0.000
In 2.276 2.838 2.276
```

The calculation puts the density of states at the Fermi level at 1.9 states/eV per cell. Its formation energy is 0.79 eV/atom. The spin magnetization comes out at 0.00 μB per atom. The symmetry is P4/mmm. Its density is 3.35 g/cm³.



2.
Here is a relaxed KZr2BeIn crystal from Alexandria via LeMat-Bulk. Energies are from GGA-PBE.

Structure (extended XYZ):
```
5
Lattice="-3.707 2.807 3.049 0.692 -2.903 3.515 4.059 3.284 1.913" Properties=species:S:1:pos:R:3 pbc="T T T"
Be 0.346 -1.452 1.757
K 0.522 1.594 4.238
Zr 2.030 1.642 0.956
Zr -1.854 1.403 1.524
In 0.000 0.000 0.000
```

The calculation puts the density of states at the Fermi level at 3.0 states/eV per cell. Its formation energy is 1.15 eV/atom. The spin magnetization comes out at 0.00 μB per atom. The symmetry is P4/mmm. Its density is 4.02 g/cm³.



3.
Here is a relaxed La2BeIn crystal from Alexandria via LeMat-Bulk. Energies are from GGA-PBE.

Structure (extended XYZ):
```
4
Lattice="-3.102 -1.806 0.517 2.287 -3.261 2.329 -0.994 3.319 5.623" Properties=species:S:1:pos:R:3 pbc="T T T"
Be -0.479 1.601 2.713
In -1.153 -0.044 5.640
La -0.981 3.277 5.552
La -0.686 -1.603 3.000
```

The calculation puts the density of states at the Fermi level at 3.5 states/eV per cell. Its formation energy is 0.19 eV/atom. The spin magnetization comes out at 0.00 μB per atom. The symmetry is Pmm2. Its density is 6.03 g/cm³. The excess energy over the best structure of this formula in the dataset is 378 meV/atom.



4.
Here is a relaxed La2BeIn crystal from Alexandria via LeMat-Bulk. Energies are from GGA-PBE.

Structure (extended XYZ):
```
8
Lattice="6.128 0.006 0.001 1.627 6.081 0.002 1.845 1.962 5.813" Properties=species:S:1:pos:R:3 pbc="T T T"
Be 6.162 5.389 5.095
Be 4.819 1.715 0.590
In 8.011 6.138 1.815
In 7.936 4.001 3.967
La 1.918 2.630 0.978
La 5.011 4.974 1.842
La 4.880 2.290 4.049
La 3.367 6.899 4.648
```

The calculation puts the density of states at the Fermi level at 6.8 states/eV per cell. Its formation energy is -0.09 eV/atom. The spin magnetization comes out at 0.00 μB per atom. The symmetry is P1. Its density is 6.16 g/cm³. The excess energy over the best structure of this formula in the dataset is 95 meV/atom.



5.
Here is a relaxed LaBeIn crystal from Alexandria via LeMat-Bulk. Energies are from GGA-PBE.

Structure (extended XYZ):
```
6
Lattice="-1.203 1.878 3.977 2.214 -3.122 4.754 5.419 2.035 -1.932" Properties=species:S:1:pos:R:3 pbc="T T T"
Be 1.597 -1.234 3.598
Be 4.672 1.143 0.797
La 4.837 0.511 3.758
La 1.626 0.093 0.374
In 2.970 2.745 2.142
In 2.371 0.009 5.861
```

The calculation puts the density of states at the Fermi level at 3.1 states/eV per cell. Its formation energy is -0.15 eV/atom. The spin magnetization comes out at 0.00 μB per atom. The symmetry is Cm. Its density is 5.98 g/cm³. The excess energy over the best structure of this formula in the dataset is 58 meV/atom.



6.
Here is a relaxed La2BeIn crystal from Alexandria via LeMat-Bulk. Energies are from GGA-PBE.

Structure (extended XYZ):
```
8
Lattice="-3.881 -0.599 -1.620 1.059 -6.006 -0.316 0.280 -0.449 9.484" Properties=species:S:1:pos:R:3 pbc="T T T"
Be 0.240 -1.364 -0.072
Be 0.910 -4.592 4.512
In -0.767 -6.387 3.623
In -1.436 -3.160 -0.960
La -1.762 -6.361 0.342
La 0.218 -6.358 6.908
La -2.151 -3.583 5.241
La -0.452 -3.130 2.324
```

The calculation puts the density of states at the Fermi level at 7.7 states/eV per cell. Its formation energy is -0.06 eV/atom. The spin magnetization comes out at 0.00 μB per atom. The symmetry is C2. Its density is 5.91 g/cm³. The excess energy over the best structure of this formula in the dataset is 128 meV/atom.



7.
Here is a relaxed LaBeIn crystal from Alexandria via LeMat-Bulk. Energies are from GGA-PBE.

Structure (extended XYZ):
```
6
Lattice="4.314 0.001 -0.001 0.000 5.444 0.093 0.001 -3.131 6.407" Properties=species:S:1:pos:R:3 pbc="T T T"
Be 1.507 2.658 2.931
Be 1.508 -2.633 5.440
La 3.662 1.579 0.981
La 1.505 0.012 4.185
In 1.503 4.300 1.028
In 3.663 2.735 4.231
```

The calculation puts the density of states at the Fermi level at 4.2 states/eV per cell. Its formation energy is -0.07 eV/atom. The spin magnetization comes out at 0.00 μB per atom. The symmetry is P2/m. Its density is 5.75 g/cm³. The excess energy over the best structure of this formula in the dataset is 139 meV/atom.



8.
Here is a relaxed LaBeIn crystal from Alexandria via LeMat-Bulk. Energies are from GGA-PBE.

Structure (extended XYZ):
```
6
Lattice="4.340 0.000 0.000 0.000 4.340 0.000 0.000 0.000 7.563" Properties=species:S:1:pos:R:3 pbc="T T T"
Be 0.000 2.170 5.428
Be 2.170 0.000 2.135
In 0.000 0.000 3.781
In 2.170 2.170 3.781
La 0.000 2.170 1.178
La 2.170 0.000 6.384
```

The calculation puts the density of states at the Fermi level at 5.3 states/eV per cell. Its formation energy is -0.06 eV/atom. The spin magnetization comes out at 0.10 μB per atom. The symmetry is P4/nmm. Its density is 6.12 g/cm³. The excess energy over the best structure of this formula in the dataset is 146 meV/atom.



9.
Here is a relaxed La2BeIn crystal from Alexandria via LeMat-Bulk. Energies are from GGA-PBE.

Structure (extended XYZ):
```
4
Lattice="-3.163 -1.332 -1.464 1.906 -2.792 -1.579 -1.107 -4.342 6.344" Properties=species:S:1:pos:R:3 pbc="T T T"
Be -0.553 -2.171 3.172
In 0.000 0.000 0.000
La -0.942 -3.294 0.279
La -1.421 -5.172 3.023
```

The calculation puts the density of states at the Fermi level at 3.3 states/eV per cell. Its formation energy is -0.14 eV/atom. The spin magnetization comes out at 0.00 μB per atom. The symmetry is P4/mmm. Its density is 6.17 g/cm³. The excess energy over the best structure of this formula in the dataset is 48 meV/atom.



10.
Here is a relaxed LaBeIn crystal from Alexandria via LeMat-Bulk. Energies are from GGA-PBE.

Structure (extended XYZ):
```
6
Lattice="-5.933 -0.526 1.782 -0.054 -3.931 -1.448 2.521 -3.776 4.103" Properties=species:S:1:pos:R:3 pbc="T T T"
Be -2.223 -2.838 0.744
Be -2.305 -3.588 2.785
La -4.192 -5.125 0.958
La 0.956 -3.780 3.165
In -0.981 -5.104 0.792
In -1.905 -6.066 3.434
```

The calculation puts the density of states at the Fermi level at 4.8 states/eV per cell. Its formation energy is -0.12 eV/atom. The spin magnetization comes out at 0.00 μB per atom. The symmetry is P1. Its density is 5.90 g/cm³. The excess energy over the best structure of this formula in the dataset is 82 meV/atom.



11.
Here is a relaxed La2BeIn crystal from Alexandria via LeMat-Bulk. Energies are from GGA-PBE.

Structure (extended XYZ):
```
16
Lattice="7.768 0.000 0.006 0.000 3.979 0.000 -6.987 0.000 14.217" Properties=species:S:1:pos:R:3 pbc="T T T"
Be -5.091 0.000 11.178
Be 5.872 0.000 3.046
Be -1.597 1.990 4.069
Be 2.378 1.990 10.154
In -4.706 0.000 14.013
In 5.487 0.000 0.211
In -1.213 1.990 6.904
In 1.994 1.990 7.320
La 4.258 0.000 5.467
La -3.477 0.000 8.757
La 0.764 1.990 12.575
La 0.017 1.990 1.648
La 0.191 0.000 9.368
La 0.590 0.000 4.856
La 3.685 1.990 2.259
La -2.904 1.990 11.965
```

The calculation puts the density of states at the Fermi level at 16.2 states/eV per cell. Its formation energy is -0.19 eV/atom. The spin magnetization comes out at 0.00 μB per atom. The symmetry is C2/m. Its density is 6.07 g/cm³. The excess energy over the best structure of this formula in the dataset is 0 meV/atom.



12.
Here is a relaxed LaBeIn crystal from Alexandria via LeMat-Bulk. Energies are from GGA-PBE.

Structure (extended XYZ):
```
6
Lattice="-3.976 -2.314 -4.369 3.695 -1.278 -0.849 -0.963 -5.187 3.623" Properties=species:S:1:pos:R:3 pbc="T T T"
Be 1.694 -1.500 -0.037
Be 1.372 -3.239 1.177
La 0.174 -4.258 -2.495
La -1.248 -4.956 1.780
In -0.729 -2.307 0.058
In -2.424 -6.581 -0.859
```

The calculation puts the density of states at the Fermi level at 4.2 states/eV per cell. Its formation energy is -0.10 eV/atom. The spin magnetization comes out at 0.00 μB per atom. The symmetry is Amm2. Its density is 5.66 g/cm³. The excess energy over the best structure of this formula in the dataset is 103 meV/atom.